{"formula": "Nd5Ag2Ru2", "functional": "PBE", "state": "relaxed", "relative_energy_mev_per_atom": 0, "spacegroup": "Cmce", "e_tot_ev_per_atom": -5.56, "lattice_angstrom": [[7.8101, -3.9174, 0.0000], [7.8101, 3.9174, 0.0000], [0.0000, 0.0000, 7.8795]], "species": ["Nd", "Nd", "Nd", "Nd", "Nd", "Nd", "Nd", "Nd", "Nd", "Nd", "Ag", "Ag", "Ag", "Ag", "Ru", "Ru", "Ru", "Ru"], "fractional_positions": [[0.0000, 0.0000, 0.0000], [0.0444, 0.7108, 0.6662], [0.2108, 0.5444, 0.1662], [0.2892, 0.9556, 0.6662], [0.4556, 0.7892, 0.1662], [0.5000, 0.5000, 0.5000], [0.5444, 0.2108, 0.8338], [0.7108, 0.0444, 0.3338], [0.7892, 0.4556, 0.8338], [0.9556, 0.2892, 0.3338], [0.2109, 0.2109, 0.0000], [0.2891, 0.2891, 0.5000], [0.7109, 0.7109, 0.5000], [0.7891, 0.7891, 0.0000], [0.1376, 0.8624, 0.3622], [0.3624, 0.6376, 0.8622], [0.6376, 0.3624, 0.1378], [0.8624, 0.1376, 0.6378]]}